[1]
Density functional theory data (PBE) for Tb7Cl12O after structural relaxation.

Cell and atoms, written as POSCAR:
```
Tb7Cl12O
1.0
-6.7350 5.1992 0.4483
-2.2856 -7.5164 3.2974
6.1371 3.2530 4.9343
Tb Cl O
7 12 1
Cartesian
-2.6057 2.7360 7.0958 Tb
-2.1310 0.9107 0.6763 Tb
1.0920 1.3169 1.7032 Tb
-1.4418 0.4679 4.3400 Tb
-3.9756 -0.3811 6.9768 Tb
-0.7526 0.0252 8.0037 Tb
-0.2778 -1.8002 1.5842 Tb
-2.1616 4.9662 5.2813 Cl
-4.6568 2.1442 1.4258 Cl
-1.1561 2.5737 2.6288 Cl
-3.8728 1.5172 4.9984 Cl
2.5328 2.8099 3.7425 Cl
-0.1278 1.9796 6.1927 Cl
-2.7558 -1.0438 2.4874 Cl
-5.4163 -1.8741 4.9375 Cl
0.9892 -0.5813 3.6816 Cl
-1.7274 -1.6379 6.0513 Cl
1.7733 -1.2083 7.2542 Cl
-0.7219 -4.0304 3.3987 Cl
0.0000 0.0000 0.0000 O
```

Calculated values
uncorrected energy	-5.034	eV per atom
ΔE_f (raw)	-2.06	eV/atom
SG	R-3 (148)

[2]
Density functional theory data (PBE) for Tb3TcCl2O6 after structural relaxation.

Cell and atoms, written as POSCAR:
```
Tb3TcCl2O6
1.0
5.4929 0.0000 0.7380
0.0000 6.5553 0.0000
0.2358 -3.2777 5.6895
Tb Tc Cl O
3 1 2 6
Cartesian
0.0000 3.2777 0.0000 Tb
2.8643 1.6388 3.2138 Tb
2.8643 -1.6388 3.2138 Tb
2.7465 0.0000 0.3690 Tc
0.8945 3.2777 2.4999 Cl
4.8342 0.0000 3.9276 Cl
3.8891 1.5538 1.1670 O
1.8396 1.7239 5.2605 O
3.8419 3.2777 4.2890 O
1.8868 0.0000 2.1385 O
1.8396 -1.7239 5.2605 O
3.8891 5.0016 1.1670 O
```

Calculated values
uncorrected energy	-7.112	eV per atom
ΔE_f (raw)	-2.30	eV/atom
SG	C2/m (12)